Model one:
{
  "formula": "Tb2MgSe4",
  "functional": "PBEsol",
  "state": "optimized geometry",
  "magnetic_moment_mub_per_fu": 0.00,
  "lattice": [[3.980, 0.000, 0.000], [0.000, 13.036, 0.000], [0.000, 0.000, 13.836]],
  "species": ["Tb", "Tb", "Tb", "Tb", "Tb", "Tb", "Tb", "Tb", "Mg", "Mg", "Mg", "Mg", "Se", "Se", "Se", "Se", "Se", "Se", "Se", "Se", "Se", "Se", "Se", "Se", "Se", "Se", "Se", "Se"],
  "fractional_positions": [[0.750, 0.385, 0.424], [0.250, 0.615, 0.576], [0.250, 0.115, 0.924], [0.750, 0.885, 0.076], [0.750, 0.359, 0.797], [0.250, 0.641, 0.203], [0.250, 0.141, 0.297], [0.750, 0.859, 0.703], [0.250, 0.387, 0.047], [0.750, 0.613, 0.953], [0.750, 0.113, 0.547], [0.250, 0.887, 0.453], [0.250, 0.492, 0.882], [0.750, 0.508, 0.118], [0.750, 0.008, 0.382], [0.250, 0.992, 0.618], [0.750, 0.469, 0.618], [0.250, 0.531, 0.382], [0.250, 0.031, 0.118], [0.750, 0.969, 0.882], [0.750, 0.278, 0.247], [0.250, 0.722, 0.753], [0.250, 0.222, 0.747], [0.750, 0.778, 0.253], [0.250, 0.241, 0.487], [0.750, 0.759, 0.513], [0.750, 0.259, 0.987], [0.250, 0.741, 0.013]]
}

---

Model two:
{
  "formula": "Tb2MgSe4",
  "functional": "PBEsol",
  "state": "optimized geometry",
  "magnetic_moment_mub_per_fu": 0.00,
  "lattice": [[-4.018, 0.801, 6.169], [4.618, -5.755, 0.625], [4.148, 6.014, -1.211]],
  "species": ["Tb", "Tb", "Tb", "Tb", "Mg", "Mg", "Se", "Se", "Se", "Se", "Se", "Se", "Se", "Se"],
  "fractional_positions": [[0.625, 0.375, 0.500], [0.125, 0.250, 0.625], [0.375, 0.875, 0.750], [0.875, 0.500, 0.125], [0.000, 0.000, 0.000], [0.500, 0.750, 0.250], [0.740, 0.116, 0.237], [0.121, 0.624, 0.884], [0.260, 0.498, 0.376], [0.879, 0.763, 0.502], [0.621, 0.634, 0.874], [0.760, 0.126, 0.748], [0.379, 0.252, 0.013], [0.240, 0.987, 0.366]]
}

---

Consider the structures shown above. The least stable of them is model one.